KSeI PBE relaxed; VASP energy = -2.8205 eV per atom; M_tot = 0.00 μB per cell; space-group type = Ima2 (46); V = 516.65 Å³/cell; uncorrected formation energy = -0.7764 eV per atom; density of states at the Fermi level = 0.0650 states/eV per atom; energy above the most stable polymorph in this dataset = 47 meV/atom
1.0
-1.890 0.604 -4.018
10.202 -8.564 -6.089
-4.569 -6.297 1.202
I Se K
4 4 4
Cartesian
3.455 -11.741 -7.140 I
3.989 -7.123 -6.697 I
-2.451 -6.292 -1.043 I
1.584 -4.613 -2.688 I
6.504 -10.449 -8.381 Se
-0.155 -9.925 -5.168 Se
-2.027 -2.796 -0.716 Se
0.064 -9.618 -2.726 Se
7.333 -7.770 -5.869 K
-0.997 -6.334 -4.232 K
3.506 -9.624 -4.347 K
-0.256 -1.891 -3.913 K